Version A
First-principles (PBE) data for Te6Pd2Rh after structural relaxation, as listed in the Alexandria database.

abc: 6.284 6.284 11.611
angles: 113.74 113.74 38.43
Fractional coordinates of all 9 atoms:
Te1 0.051 0.051 0.382
Te2 0.285 0.285 0.292
Te3 0.385 0.385 0.045
Te4 0.615 0.615 0.955
Te5 0.715 0.715 0.708
Te6 0.949 0.949 0.618
Pd1 0.166 0.166 0.832
Pd2 0.834 0.834 0.168
Rh1 0.500 0.500 0.500

Results
Its total magnetization is 0.00 μB per formula unit.

=====

Version B
First-principles (PBE) data for Te6Pd2Rh after structural relaxation, as listed in the Alexandria database.

abc: 5.275 7.092 12.083
angles: 90.00 90.00 90.00
Fractional coordinates of all 18 atoms:
Te1 0.226 0.182 0.152
Te2 0.226 0.182 0.848
Te3 0.236 0.678 0.000
Te4 0.264 0.178 0.500
Te5 0.274 0.682 0.348
Te6 0.274 0.682 0.652
Te7 0.726 0.318 0.348
Te8 0.726 0.318 0.652
Te9 0.736 0.822 0.500
Te10 0.764 0.322 0.000
Te11 0.774 0.818 0.152
Te12 0.774 0.818 0.848
Pd1 0.000 0.000 0.326
Pd2 0.000 0.000 0.674
Pd3 0.500 0.500 0.174
Pd4 0.500 0.500 0.826
Rh1 0.000 0.500 0.500
Rh2 0.500 0.000 0.000

Results
Its total magnetization is 0.00 μB per formula unit.

=====

Of them, version A has the lowest stability.

=====

Version A
First-principles (PBE) data for Te2PdRh after structural relaxation, as listed in the Alexandria database.

abc: 7.435 7.435 7.435
angles: 133.31 133.31 68.17
Fractional coordinates of all 8 atoms:
Te1 0.113 0.625 0.988
Te2 0.375 0.363 0.488
Te3 0.637 0.125 0.012
Te4 0.875 0.887 0.512
Pd1 0.250 0.750 0.500
Pd2 0.500 0.500 0.000
Rh1 0.000 0.000 0.000
Rh2 0.750 0.250 0.500

Results
Its total magnetization is 0.00 μB per formula unit.

=====

Version B
First-principles (PBE) data for Te2PdRh after structural relaxation, as listed in the Alexandria database.

abc: 4.798 4.798 4.798
angles: 60.00 60.00 60.00
Fractional coordinates of all 4 atoms:
Te1 0.250 0.250 0.250
Te2 0.750 0.750 0.750
Pd1 0.000 0.000 0.000
Rh1 0.500 0.500 0.500

Results
Its total magnetization is 0.00 μB per formula unit.

=====

Of them, version B has the lowest stability.